SmU3N4 | PBE-GGA | optimized geometry

Results
* formation energy from raw total energies: -1.347 eV/atom

Unit cell a=6.0233 b=6.0233 c=3.4692 alpha=90.00 beta=90.00 gamma=109.77
Atoms (fractional coordinates):
1 Sm 0.0000 0.0000 0.0000
2 U 0.0000 0.5000 0.5000
3 U 0.5000 0.0000 0.5000
4 U 0.5000 0.5000 0.0000
5 N 0.2557 0.7443 0.0000
6 N 0.2674 0.2674 0.5000
7 N 0.7326 0.7326 0.5000
8 N 0.7443 0.2557 0.0000

LaP2S6 | PBE-GGA | optimized geometry

Results
* formation energy from raw total energies: -0.633 eV/atom

Unit cell a=7.6647 b=7.6647 c=7.6647 alpha=50.55 beta=50.55 gamma=50.55
Atoms (fractional coordinates):
1 La 0.0000 0.0000 0.0000
2 P 0.2545 0.2545 0.2545
3 P 0.3768 0.3768 0.3768
4 S 0.0697 0.4664 0.6578
5 S 0.1719 0.9639 0.5532
6 S 0.4664 0.6578 0.0697
7 S 0.5532 0.1719 0.9639
8 S 0.6578 0.0697 0.4664
9 S 0.9639 0.5532 0.1719

MgAlAg | PBE-GGA | optimized geometry

Results
* energy of formation from the pure elements: -68.8 meV per atom

Unit cell a=5.0185 b=5.0185 c=5.0185 alpha=143.73 beta=132.67 gamma=61.06
Atoms (fractional coordinates):
1 Mg 0.0000 0.0000 0.0000
2 Al 0.3293 0.3293 0.0000
3 Ag 0.6679 0.6679 0.0000

Number 1: VASP energy -10.332 eV per atom, size of the total moment 4.178 μB per cell. Number 2: VASP energy -5.134 eV per atom, size of the total moment 0.000 μB per cell. Number 3: VASP energy -2.798 eV per atom, size of the total moment 0.000 μB per cell.